Entry 1:
Density functional theory data (PBE) for a relaxed AgPbAu2 crystal.

Summary:
E_form   4 kJ/mol of formula units

The structure in CIF format:
```
data_AgPbAu2
_cell_length_a 4.468
_cell_length_b 3.368
_cell_length_c 6.078
_cell_angle_alpha 70.50
_cell_angle_beta 90.00
_cell_angle_gamma 90.00
_symmetry_space_group_name_H-M 'P 1'
_symmetry_Int_Tables_number 1
loop_
_symmetry_equiv_pos_as_xyz
'x,y,z'
loop_
_atom_site_label
_atom_site_fract_x
_atom_site_fract_y
_atom_site_fract_z
Au1 0.000 0.208 0.958
Au2 0.500 0.060 0.264
Pb1 0.000 0.440 0.460
Ag1 0.500 0.792 0.818
```


Entry 2:
Density functional theory data (PBE) for a relaxed CaLa2AuO crystal.

Summary:
E_form (uncorrected)   -134.0 kJ per mole of atoms

The structure in CIF format:
```
data_CaLa2AuO
_cell_length_a 5.087
_cell_length_b 5.087
_cell_length_c 4.665
_cell_angle_alpha 90.00
_cell_angle_beta 90.00
_cell_angle_gamma 90.00
_symmetry_space_group_name_H-M 'P 1'
_symmetry_Int_Tables_number 1
loop_
_symmetry_equiv_pos_as_xyz
'x,y,z'
loop_
_atom_site_label
_atom_site_fract_x
_atom_site_fract_y
_atom_site_fract_z
O1 0.000 0.000 0.000
La1 0.500 0.000 0.000
La2 0.000 0.500 0.000
Au1 0.500 0.500 0.500
Ca1 0.000 0.000 0.500
```


Entry 3:
Density functional theory data (PBE) for a relaxed Mg5ZnCdHg2 crystal.

Summary:
E_form   -19 kJ/mol of formula units

The structure in CIF format:
```
data_Mg5ZnCdHg2
_cell_length_a 7.518
_cell_length_b 7.518
_cell_length_c 8.993
_cell_angle_alpha 114.71
_cell_angle_beta 114.71
_cell_angle_gamma 90.00
_symmetry_space_group_name_H-M 'P 1'
_symmetry_Int_Tables_number 1
loop_
_symmetry_equiv_pos_as_xyz
'x,y,z'
loop_
_atom_site_label
_atom_site_fract_x
_atom_site_fract_y
_atom_site_fract_z
Mg1 0.000 0.000 0.000
Mg2 0.346 0.846 0.285
Mg3 0.654 0.154 0.715
Mg4 0.060 0.560 0.715
Mg5 0.440 0.346 0.285
Mg6 0.500 0.500 0.000
Mg7 0.940 0.440 0.285
Mg8 0.560 0.654 0.715
Mg9 0.154 0.060 0.715
Mg10 0.846 0.940 0.285
Cd1 0.750 0.750 0.500
Cd2 0.250 0.250 0.500
Hg1 0.369 0.869 0.000
Hg2 0.869 0.631 0.000
Hg3 0.131 0.369 0.000
Hg4 0.631 0.131 0.000
Zn1 0.750 0.250 0.500
Zn2 0.250 0.750 0.500
```